Record 1
# NiP4O11

A crystal of NiP4O11 relaxed with PBEsol (meta-GGA SCAN, Alexandria via LeMat-Bulk).

Structure (POSCAR):
```
NiP4O11
1.0
5.262 0.000 0.000
0.000 22.285 0.000
-2.610 0.000 6.895
Ni P O
4 16 44
Cartesian
-0.932 2.566 2.542
-2.237 8.577 5.990
4.889 13.708 0.905
3.584 19.719 4.353
-0.513 1.601 5.556
0.792 9.542 2.108
0.205 15.113 3.804
1.510 18.315 0.357
-0.476 15.487 6.691
0.829 17.940 3.243
1.573 0.828 1.431
0.268 10.314 4.879
2.384 11.971 2.017
1.079 21.457 5.464
1.822 4.345 3.652
3.128 6.798 0.204
1.142 3.970 6.538
2.447 7.172 3.091
1.860 12.743 4.787
3.165 20.684 1.339
-1.331 1.707 4.339
-0.026 9.436 0.892
-0.672 14.600 2.738
-1.977 18.828 6.185
0.811 15.230 0.414
-0.494 18.198 3.862
0.313 1.040 2.174
-0.992 10.102 5.622
-1.376 1.014 6.728
-0.071 10.129 3.280
-0.665 15.453 5.065
0.640 17.974 1.617
1.100 12.660 1.756
-0.205 20.768 5.204
0.588 3.607 3.328
-0.717 7.535 6.776
-0.027 3.016 6.069
1.278 8.126 2.621
0.510 11.935 4.886
1.815 21.492 1.438
1.119 16.350 3.457
2.424 17.078 0.009
0.228 5.207 6.886
1.533 5.935 3.438
0.837 0.793 5.457
2.142 10.350 2.010
1.374 14.159 4.274
2.679 19.269 0.826
3.368 14.750 0.119
2.063 18.678 3.567
2.857 1.517 1.691
1.552 9.625 5.139
2.012 4.311 5.278
3.317 6.832 1.830
2.723 12.156 3.615
4.028 21.271 0.167
3.644 12.183 1.273
2.339 21.245 4.721
3.146 4.087 3.033
1.841 7.055 6.481
4.628 3.457 0.710
3.323 7.685 4.158
2.678 12.849 6.003
3.983 20.578 2.556
```

electronic total energy: -10.10 eV/atom
calculated volume: 808.5 Å³/cell
space group: P2_1/c (14)
energy above the lowest structure with this stoichiometry: 0 meV per atom
formation energy from raw total energies: -2.2073 eV/atom
size of the total moment: 0.13 μB per atom


Record 2
# SbPb3

A crystal of SbPb3 relaxed with PBEsol (meta-GGA SCAN, Alexandria via LeMat-Bulk).

Structure (POSCAR):
```
SbPb3
1.0
-2.410 2.410 10.030
2.410 -2.410 10.030
2.410 2.410 -10.030
Sb Pb
2 6
Cartesian
0.000 0.000 2.446
0.000 0.000 17.614
2.410 0.000 0.000
2.410 0.000 5.015
0.000 0.000 7.482
0.000 2.410 0.000
0.000 0.000 12.578
0.000 2.410 5.015
```

electronic total energy: -66.08 eV/atom
calculated volume: 233.0 Å³/cell
space group: I4/mmm (139)
formation energy from raw total energies: 0.0668 eV/atom
size of the total moment: 0.00 μB per atom


Record 3
# Li2CuSi

A crystal of Li2CuSi relaxed with PBEsol (meta-GGA SCAN, Alexandria via LeMat-Bulk).

Structure (POSCAR):
```
Li2CuSi
1.0
-1.776 1.776 4.011
1.776 -1.776 4.011
1.776 1.776 -4.011
Li Cu Si
2 1 1
Cartesian
1.776 0.000 2.005
0.000 1.776 2.005
0.000 0.000 0.000
0.000 0.000 4.011
```

electronic total energy: -7.63 eV/atom
calculated volume: 50.6 Å³/cell
space group: I4/mmm (139)
formation energy from raw total energies: -0.1312 eV/atom
size of the total moment: 0.00 μB per atom


Look up the size of the total moment of the third one.
0.00 μB per atom


Repeat the second record exactly.
# SbPb3

A crystal of SbPb3 relaxed with PBEsol (meta-GGA SCAN, Alexandria via LeMat-Bulk).

Structure (POSCAR):
```
SbPb3
1.0
-2.410 2.410 10.030
2.410 -2.410 10.030
2.410 2.410 -10.030
Sb Pb
2 6
Cartesian
0.000 0.000 2.446
0.000 0.000 17.614
2.410 0.000 0.000
2.410 0.000 5.015
0.000 0.000 7.482
0.000 2.410 0.000
0.000 0.000 12.578
0.000 2.410 5.015
```

electronic total energy: -66.08 eV/atom
calculated volume: 233.0 Å³/cell
space group: I4/mmm (139)
formation energy from raw total energies: 0.0668 eV/atom
size of the total moment: 0.00 μB per atom


Among the records above, which one has the lowest calculated volume?
Li2CuSi